Compound: Ba2Li2NiO4
Source: Alexandria
Functional: PBE with a Hubbard U
Structure: relaxed

**Electronic total energy**: -5.1237 eV/atom
**Magnetization**: 1.99 μB/cell
**Density of states at the Fermi level**: 0.00 states/eV per cell
**SG**: C2/m, No. 12

Cell and atoms, written as POSCAR:
```
Ba2Li2NiO4
1.0
-1.814 -1.484 -2.309
4.479 -3.540 -1.243
-2.562 -2.608 6.033
Ba O Li Ni
2 4 2 1
Direct
0.869 0.445 0.739
0.131 0.555 0.261
0.531 0.804 0.061
0.229 0.217 0.458
0.771 0.783 0.542
0.469 0.196 0.939
0.319 0.966 0.638
0.681 0.034 0.362
0.000 0.000 0.000
```